Entry from Alexandria: a relaxed RbSb2F crystal (PBE).

abc: 5.390 5.390 5.390
angles: 60.00 60.00 60.00
Sites, in units of the cell vectors:
Rb: 0.500 0.500 0.500
F: 0.000 0.000 0.000
Sb: 0.750 0.750 0.750
Sb: 0.250 0.250 0.250

Properties
V (Å³/cell): 111
Electronic total energy (eV per atom): -2.77
Polymorph energy (0 for the lowest one) (eV/f.u.): 2.27
Energy relative to the elements, uncorrected (kJ/mol of formula units): 1